1 | This record from Alexandria describes a relaxed structure of Cr4Pb. The functional is PBE.

Structure (POSCAR):
```
Cr4Pb
1.0
-2.965 2.965 2.008
2.965 -2.965 2.008
2.965 2.965 -2.008
Cr Pb
4 1
Direct
0.178 0.573 0.751
0.573 0.822 0.394
0.822 0.427 0.249
0.427 0.178 0.606
0.000 0.000 0.000
```

The value obtained for the total moment is 0.0 μB/cell. The density of states at the Fermi level is 1.462 states/eV per atom.


2 | This record from Alexandria describes a relaxed structure of Cr4Pb. The functional is PBE.

Structure (POSCAR):
```
Cr4Pb
1.0
3.717 3.949 1.144
-5.086 1.848 1.197
1.093 -4.502 3.041
Cr Pb
4 1
Direct
0.500 0.500 0.500
0.500 0.000 0.000
0.000 0.500 0.000
0.000 0.000 0.500
0.000 0.000 0.000
```

The value obtained for the total moment is 18.3 μB/cell. The density of states at the Fermi level is 0.670 states/eV per atom.


3 | This record from Alexandria describes a relaxed structure of Cr4Pb. The functional is PBE.

Structure (POSCAR):
```
Cr4Pb
1.0
-2.060 -4.123 2.481
0.837 -2.964 -4.232
4.738 -1.269 1.826
Cr Pb
4 1
Direct
0.500 0.500 0.000
0.000 0.000 0.000
0.000 0.500 0.500
0.500 0.000 0.500
0.500 0.500 0.500
```

The value obtained for the total moment is 18.0 μB/cell. The density of states at the Fermi level is 0.530 states/eV per atom.


Name the most stable of them. 1.


1 | This record from Alexandria describes a relaxed structure of Cr4Pb5. The functional is PBE.

Structure (POSCAR):
```
Cr4Pb5
1.0
-0.974 -0.551 6.957
2.673 4.295 -4.905
-6.764 1.136 -1.616
Pb Cr
5 4
Direct
0.676 0.676 0.351
0.676 0.324 0.000
0.000 0.000 0.000
0.324 0.324 0.649
0.324 0.676 0.000
0.000 0.397 0.397
0.000 0.603 0.603
0.397 0.000 0.397
0.603 0.000 0.603
```

The value obtained for the total moment is 0.0 μB/cell. The density of states at the Fermi level is 0.703 states/eV per atom.


2 | This record from Alexandria describes a relaxed structure of Cr4Pb5. The functional is PBE.

Structure (POSCAR):
```
Cr4Pb5
1.0
-4.109 -0.791 -7.659
-4.514 -0.538 7.450
-0.979 6.374 -0.133
Pb Cr
10 8
Direct
0.292 0.000 0.750
0.000 0.708 0.250
0.333 0.667 0.000
0.292 0.292 0.250
0.667 0.333 0.000
0.667 0.333 0.500
0.708 0.708 0.750
0.000 0.292 0.750
0.333 0.667 0.500
0.708 0.000 0.250
0.000 0.635 0.750
0.365 0.365 0.750
0.635 0.635 0.250
0.635 0.000 0.750
0.365 0.000 0.250
0.000 0.365 0.250
0.000 0.000 0.500
0.000 0.000 0.000
```

The value obtained for the total moment is 32.2 μB/cell. The density of states at the Fermi level is 0.423 states/eV per atom.


Name the most stable of them. 2.


1 | This record from Alexandria describes a relaxed structure of CrPd3Pb. The functional is PBE.

Structure (POSCAR):
```
CrPd3Pb
1.0
5.033 0.000 0.000
0.000 5.033 0.000
0.000 0.000 5.033
Pd Cr Pb
3 1 1
Direct
0.000 0.000 0.500
0.500 0.000 0.000
0.000 0.500 0.000
0.500 0.500 0.500
0.000 0.000 0.000
```

The value obtained for the total moment is 4.6 μB/cell. The density of states at the Fermi level is 0.922 states/eV per atom.


2 | This record from Alexandria describes a relaxed structure of CrPd3Pb. The functional is PBE.

Structure (POSCAR):
```
CrPd3Pb
1.0
4.668 0.000 0.000
0.000 4.668 0.000
0.000 0.000 4.668
Cr Pd Pb
1 3 1
Direct
0.000 0.000 0.000
0.000 0.500 0.000
0.000 0.000 0.500
0.500 0.000 0.000
0.500 0.500 0.500
```

The value obtained for the total moment is 0.0 μB/cell. The density of states at the Fermi level is 1.073 states/eV per atom.


Name the most stable of them. 2.


1 | This record from Alexandria describes a relaxed structure of CrPtPb2. The functional is PBE.

Structure (POSCAR):
```
CrPtPb2
1.0
4.991 0.000 0.000
2.495 4.322 0.000
2.495 1.441 4.075
Pt Pb Cr
1 2 1
Direct
0.750 0.750 0.750
0.000 0.000 0.000
0.250 0.250 0.250
0.500 0.500 0.500
```

The value obtained for the total moment is 4.1 μB/cell. The density of states at the Fermi level is 0.476 states/eV per atom.


2 | This record from Alexandria describes a relaxed structure of CrPtPb2. The functional is PBE.

Structure (POSCAR):
```
CrPtPb2
1.0
-3.190 -3.324 -1.178
3.526 -3.049 -0.941
-0.078 -1.223 3.609
Pb Pt Cr
2 1 1
Direct
0.000 0.000 0.000
0.500 0.500 0.000
0.500 0.000 0.500
0.000 0.500 0.500
```

The value obtained for the total moment is 3.9 μB/cell. The density of states at the Fermi level is 0.610 states/eV per atom.


3 | This record from Alexandria describes a relaxed structure of CrPtPb2. The functional is PBE.

Structure (POSCAR):
```
CrPtPb2
1.0
-2.283 1.295 -2.343
-2.532 -0.045 2.443
-0.848 6.594 4.471
Pb Pt Cr
2 1 1
Direct
0.000 0.514 0.485
0.000 0.986 0.015
0.500 0.250 0.250
0.500 0.750 0.750
```

The value obtained for the total moment is 4.6 μB/cell. The density of states at the Fermi level is 0.419 states/eV per atom.


4 | This record from Alexandria describes a relaxed structure of CrPtPb2. The functional is PBE.

Structure (POSCAR):
```
CrPtPb2
1.0
7.940 0.000 0.000
0.000 7.940 0.000
3.970 3.970 3.042
Pb Pt Cr
4 2 2
Direct
0.651 0.125 0.250
0.375 0.349 0.750
0.099 0.625 0.250
0.875 0.901 0.750
0.750 0.250 0.500
0.000 0.000 0.000
0.250 0.750 0.500
0.500 0.500 0.000
```

The value obtained for the total moment is 8.3 μB/cell. The density of states at the Fermi level is 0.402 states/eV per atom.


Name the most stable of them. 2.


1 | This record from Alexandria describes a relaxed structure of CrPtPb2. The functional is PBE.

Structure (POSCAR):
```
CrPtPb2
1.0
5.587 0.001 0.000
2.313 5.086 0.000
-3.950 -2.544 3.024
Pt Cr Pb
1 1 2
Direct
0.500 0.500 0.000
0.750 0.250 0.500
0.000 0.000 0.000
0.250 0.750 0.500
```

The value obtained for the total moment is 3.8 μB/cell. The density of states at the Fermi level is 0.597 states/eV per atom.


2 | This record from Alexandria describes a relaxed structure of CrPtPb2. The functional is PBE.

Structure (POSCAR):
```
CrPtPb2
1.0
4.808 -0.156 -0.001
3.580 3.213 -0.001
1.305 0.476 5.578
Cr Pb Pt
1 2 1
Direct
0.750 0.750 0.750
0.508 0.508 0.489
0.992 0.992 0.011
0.250 0.250 0.250
```

The value obtained for the total moment is 4.4 μB/cell. The density of states at the Fermi level is 0.745 states/eV per atom.


Name the most stable of them. 1.


1 | This record from Alexandria describes a relaxed structure of CrPtPb2. The functional is PBE.

Structure (POSCAR):
```
CrPtPb2
1.0
-5.986 -1.857 -0.750
-3.850 -4.609 1.942
-5.247 -0.710 3.436
Pt Pb Cr
1 2 1
Direct
0.455 0.455 0.455
0.027 0.027 0.027
0.223 0.223 0.223
0.796 0.796 0.796
```

The value obtained for the total moment is 3.1 μB/cell. The density of states at the Fermi level is 0.436 states/eV per atom.


2 | This record from Alexandria describes a relaxed structure of CrPtPb2. The functional is PBE.

Structure (POSCAR):
```
CrPtPb2
1.0
-2.950 -0.431 -2.815
-0.534 -3.755 1.135
-4.007 -0.228 4.235
Cr Pt Pb
1 1 2
Direct
0.500 0.551 0.774
0.000 0.699 0.476
0.000 0.976 0.924
0.500 0.274 0.326
```

The value obtained for the total moment is 3.6 μB/cell. The density of states at the Fermi level is 0.534 states/eV per atom.


3 | This record from Alexandria describes a relaxed structure of CrPtPb2. The functional is PBE.

Structure (POSCAR):
```
CrPtPb2
1.0
0.000 3.507 3.507
3.507 0.000 3.507
3.507 3.507 0.000
Cr Pt Pb
1 1 2
Direct
0.000 0.000 0.000
0.500 0.500 0.500
0.250 0.250 0.250
0.750 0.750 0.750
```

The value obtained for the total moment is 4.2 μB/cell. The density of states at the Fermi level is 0.413 states/eV per atom.


4 | This record from Alexandria describes a relaxed structure of CrPtPb2. The functional is PBE.

Structure (POSCAR):
```
CrPtPb2
1.0
-5.852 0.302 1.747
-2.481 -4.079 3.821
4.424 4.129 -0.879
Pb Pt Cr
2 1 1
Direct
0.989 0.989 0.000
0.273 0.773 0.500
0.527 0.527 0.000
0.712 0.212 0.500
```

The value obtained for the total moment is 4.0 μB/cell. The density of states at the Fermi level is 0.590 states/eV per atom.


Name the most stable of them. 1.